LiNpNi2O6 | PBE with a Hubbard U | relaxed

Summary:
N(E_F) = 7.86 states/eV per cell
uncorrected energy = -6.29 eV/atom

a = 5.8397 Å, b = 5.8397 Å, c = 4.1682 Å
α = 90.00°, β = 90.00°, γ = 90.00°
Element x y z (fractional)
Li 0.0000 0.0000 0.0000
Np 0.5000 0.5000 0.9984
Ni 0.0000 0.5000 0.9974
Ni 0.5000 0.0000 0.9974
O 0.0000 0.0000 0.4995
O 0.2532 0.2532 0.9982
O 0.2532 0.7468 0.9982
O 0.5000 0.5000 0.4983
O 0.7468 0.2532 0.9982
O 0.7468 0.7468 0.9982